[1]
Dy6TmPd3 | PBE-GGA | relaxed

a b c (Å): 7.188 8.710 8.710
angles (deg): 98.32 90.00 90.00
Atoms (fractional coordinates):
Dy1 0.669 0.629 0.708
Pd1 0.373 0.423 0.577
Tm1 0.039 0.321 0.679
Pd2 0.456 0.289 0.088
Dy2 0.324 0.033 0.421
Dy3 0.169 0.708 0.629
Dy4 0.669 0.292 0.371
Dy5 0.824 0.967 0.579
Pd3 0.456 0.912 0.711
Tm2 0.539 0.679 0.321
Dy6 0.520 0.230 0.770
Dy7 0.324 0.579 0.967
Dy8 0.824 0.421 0.033
Pd4 0.956 0.088 0.289
Dy9 0.169 0.371 0.292
Pd5 0.956 0.711 0.912
Dy10 0.157 0.037 0.963
Dy11 0.020 0.770 0.230
Dy12 0.657 0.963 0.037
Pd6 0.873 0.577 0.423

## Properties
Energy relative to the elements (eV/atom): -0.5017
Uncorrected energy (eV per atom): -5.268
Density of states at the Fermi level (states/eV per cell): 22.7

[2]
DyTm2Pd9 | PBE-GGA | relaxed

a b c (Å): 4.105 4.105 12.310
angles (deg): 90.00 90.00 90.00
Atoms (fractional coordinates):
Pd1 0.000 0.500 0.500
Pd2 0.500 0.000 0.500
Dy1 0.000 0.000 0.000
Pd3 0.500 0.000 0.169
Tm1 0.000 0.000 0.335
Pd4 0.500 0.000 0.831
Pd5 0.500 0.500 0.334
Pd6 0.500 0.500 0.000
Tm2 0.000 0.000 0.665
Pd7 0.500 0.500 0.666
Pd8 0.000 0.500 0.169
Pd9 0.000 0.500 0.831

## Properties
Energy relative to the elements (eV/atom): -0.8957
Uncorrected energy (eV per atom): -5.919
Density of states at the Fermi level (states/eV per cell): 9.5

[3]
Dy5TmPd6 | PBE-GGA | relaxed

a b c (Å): 5.004 6.867 7.889
angles (deg): 90.00 71.51 90.00
Atoms (fractional coordinates):
Dy1 0.334 0.000 0.333
Dy2 0.333 0.500 0.334
Pd1 0.165 0.751 0.671
Dy3 0.666 0.000 0.667
Tm1 0.000 0.000 0.000
Pd2 0.835 0.751 0.329
Pd3 0.165 0.249 0.671
Dy4 0.000 0.500 0.000
Pd4 0.500 0.247 0.000
Pd5 0.500 0.753 0.000
Pd6 0.835 0.249 0.329
Dy5 0.667 0.500 0.666

## Properties
Energy relative to the elements (eV/atom): -0.8935
Uncorrected energy (eV per atom): -5.780
Density of states at the Fermi level (states/eV per cell): 7.7

[4]
DyTm6Pd3 | PBE-GGA | relaxed

a b c (Å): 7.186 8.584 8.584
angles (deg): 98.87 90.00 90.00
Atoms (fractional coordinates):
Tm1 0.320 0.581 0.964
Pd1 0.455 0.912 0.705
Dy1 0.041 0.316 0.684
Tm2 0.519 0.229 0.771
Dy2 0.541 0.684 0.316
Tm3 0.168 0.372 0.293
Tm4 0.668 0.293 0.372
Tm5 0.163 0.033 0.967
Tm6 0.820 0.419 0.036
Tm7 0.668 0.628 0.707
Pd2 0.955 0.088 0.295
Pd3 0.455 0.295 0.088
Pd4 0.955 0.705 0.912
Pd5 0.875 0.578 0.422
Tm8 0.820 0.964 0.581
Tm9 0.663 0.967 0.033
Tm10 0.168 0.707 0.628
Tm11 0.320 0.036 0.419
Pd6 0.375 0.422 0.578
Tm12 0.019 0.771 0.229

## Properties
Energy relative to the elements (eV/atom): -0.5284
Uncorrected energy (eV per atom): -5.229
Density of states at the Fermi level (states/eV per cell): 20.8

[5]
DyTmPd4 | PBE-GGA | relaxed

a b c (Å): 3.623 5.177 7.137
angles (deg): 102.85 75.30 69.52
Atoms (fractional coordinates):
Pd1 0.671 0.994 0.663
Pd2 0.329 0.006 0.337
Dy1 0.000 0.000 0.000
Pd3 0.838 0.495 0.829
Pd4 0.162 0.505 0.171
Tm1 0.500 0.500 0.500

## Properties
Energy relative to the elements (eV/atom): -0.8038
Uncorrected energy (eV per atom): -5.778
Density of states at the Fermi level (states/eV per cell): 3.2

[6]
Dy5TmPd2 | PBE-GGA | relaxed

a b c (Å): 3.767 6.829 18.265
angles (deg): 90.00 90.00 106.01
Atoms (fractional coordinates):
Dy1 0.330 0.660 0.444
Tm1 0.278 0.557 0.250
Dy2 0.946 0.893 0.587
Dy3 0.449 0.898 0.750
Pd1 0.709 0.417 0.138
Dy4 0.054 0.107 0.087
Dy5 0.670 0.340 0.944
Pd2 0.291 0.583 0.862
Dy6 0.330 0.660 0.056
Tm2 0.722 0.443 0.750
Dy7 0.054 0.107 0.413
Pd3 0.291 0.583 0.638
Pd4 0.709 0.417 0.362
Dy8 0.946 0.893 0.913
Dy9 0.551 0.102 0.250
Dy10 0.670 0.340 0.556

## Properties
Energy relative to the elements (eV/atom): -0.3746
Uncorrected energy (eV per atom): -5.108
Density of states at the Fermi level (states/eV per cell): 18.5

[7]
Dy2Tm3Pd4 | PBE-GGA | relaxed

a b c (Å): 6.607 7.333 9.249
angles (deg): 90.00 110.93 90.00
Atoms (fractional coordinates):
Tm1 0.483 0.250 0.466
Dy1 0.595 0.916 0.190
Tm2 0.983 0.250 0.466
Pd1 0.834 0.038 0.667
Pd2 0.818 0.250 0.136
Tm3 0.517 0.750 0.534
Dy2 0.405 0.084 0.810
Tm4 0.017 0.750 0.534
Pd3 0.334 0.462 0.667
Tm5 0.000 0.000 0.000
Pd4 0.682 0.750 0.864
Pd5 0.182 0.750 0.864
Pd6 0.166 0.962 0.333
Pd7 0.318 0.250 0.136
Tm6 0.500 0.500 0.000
Pd8 0.666 0.538 0.333
Dy3 0.095 0.584 0.190
Dy4 0.905 0.416 0.810

## Properties
Energy relative to the elements (eV/atom): -0.7269
Uncorrected energy (eV per atom): -5.548
Density of states at the Fermi level (states/eV per cell): 15.4

[8]
Dy3TmPd4 | PBE-GGA | relaxed

a b c (Å): 3.425 4.991 9.986
angles (deg): 90.00 90.00 90.00
Atoms (fractional coordinates):
Dy1 0.500 0.000 0.751
Dy2 0.500 0.000 0.249
Pd1 0.000 0.000 0.000
Pd2 0.000 0.000 0.500
Dy3 0.500 0.500 0.500
Tm1 0.500 0.500 0.000
Pd3 0.000 0.500 0.754
Pd4 0.000 0.500 0.246

## Properties
Energy relative to the elements (eV/atom): -0.9023
Uncorrected energy (eV per atom): -5.783
Density of states at the Fermi level (states/eV per cell): 3.6

[9]
Dy6TmPd2 | PBE-GGA | relaxed

a b c (Å): 3.678 8.221 8.627
angles (deg): 79.10 77.69 77.07
Atoms (fractional coordinates):
Pd1 0.407 0.424 0.762
Dy1 0.713 0.684 0.890
Dy2 0.032 0.125 0.810
Pd2 0.593 0.576 0.238
Dy3 0.287 0.316 0.110
Dy4 0.307 0.832 0.555
Tm1 0.000 0.500 0.500
Dy5 0.968 0.875 0.190
Dy6 0.693 0.168 0.445

## Properties
Energy relative to the elements (eV/atom): -0.3841
Uncorrected energy (eV per atom): -5.103
Density of states at the Fermi level (states/eV per cell): 9.8

[10]
Dy2Tm2Pd3 | PBE-GGA | relaxed

a b c (Å): 4.149 6.835 7.086
angles (deg): 99.86 89.71 107.95
Atoms (fractional coordinates):
Pd1 0.000 0.000 0.000
Tm1 0.371 0.746 0.103
Pd2 0.242 0.475 0.745
Tm2 0.629 0.254 0.897
Pd3 0.758 0.525 0.255
Dy1 0.871 0.730 0.640
Dy2 0.129 0.270 0.360

## Properties
Energy relative to the elements (eV/atom): -0.6333
Uncorrected energy (eV per atom): -5.451
Density of states at the Fermi level (states/eV per cell): 5.3

[11]
Dy4TmPd4 | PBE-GGA | relaxed

a b c (Å): 5.789 8.895 8.895
angles (deg): 90.00 90.00 90.00
Atoms (fractional coordinates):
Pd1 0.405 0.621 0.778
Tm1 0.000 0.000 0.000
Dy1 0.909 0.411 0.184
Pd2 0.595 0.778 0.379
Pd3 0.095 0.879 0.722
Dy2 0.409 0.316 0.911
Pd4 0.095 0.121 0.278
Dy3 0.591 0.089 0.316
Dy4 0.591 0.911 0.684
Dy5 0.091 0.816 0.411
Dy6 0.409 0.684 0.089
Dy7 0.909 0.589 0.816
Pd5 0.405 0.379 0.222
Dy8 0.091 0.184 0.589
Pd6 0.905 0.278 0.879
Tm2 0.500 0.500 0.500
Pd7 0.595 0.222 0.621
Pd8 0.905 0.722 0.121

## Properties
Energy relative to the elements (eV/atom): -0.6794
Uncorrected energy (eV per atom): -5.530
Density of states at the Fermi level (states/eV per cell): 14.1

[12]
DyTm5Pd2 | PBE-GGA | relaxed

a b c (Å): 3.725 6.740 17.845
angles (deg): 90.00 90.00 106.04
Atoms (fractional coordinates):
Pd1 0.273 0.546 0.868
Dy1 0.325 0.649 0.250
Tm1 0.338 0.676 0.048
Tm2 0.338 0.676 0.452
Tm3 0.662 0.324 0.952
Pd2 0.273 0.546 0.632
Pd3 0.727 0.454 0.368
Tm4 0.948 0.896 0.594
Tm5 0.052 0.104 0.094
Tm6 0.662 0.324 0.548
Pd4 0.727 0.454 0.132
Tm7 0.948 0.896 0.906
Dy2 0.675 0.351 0.750
Tm8 0.590 0.179 0.250
Tm9 0.052 0.104 0.406
Tm10 0.410 0.821 0.750

## Properties
Energy relative to the elements (eV/atom): -0.3900
Uncorrected energy (eV per atom): -5.058
Density of states at the Fermi level (states/eV per cell): 18.7

[13]
DyTm3Pd2 | PBE-GGA | relaxed

a b c (Å): 6.867 7.023 8.366
angles (deg): 114.82 114.23 90.00
Atoms (fractional coordinates):
Tm1 0.234 0.484 0.468
Pd1 0.433 0.641 0.282
Tm2 0.234 0.984 0.468
Dy1 0.000 0.500 0.000
Pd2 0.849 0.141 0.282
Tm3 0.500 0.750 0.000
Pd3 0.151 0.859 0.718
Tm4 0.766 0.516 0.532
Tm5 0.500 0.250 0.000
Pd4 0.567 0.359 0.718
Tm6 0.766 0.016 0.532
Dy2 0.000 0.000 0.000

## Properties
Energy relative to the elements (eV/atom): -0.5244
Uncorrected energy (eV per atom): -5.258
Density of states at the Fermi level (states/eV per cell): 11.9

[14]
Dy3Tm3Pd4 | PBE-GGA | relaxed

a b c (Å): 3.965 7.719 7.719
angles (deg): 89.65 90.00 90.00
Atoms (fractional coordinates):
Tm1 0.500 0.166 0.834
Pd1 0.000 0.869 0.865
Dy1 0.500 0.665 0.666
Pd2 0.000 0.633 0.367
Dy2 0.500 0.836 0.164
Pd3 0.000 0.363 0.637
Dy3 0.500 0.334 0.335
Tm2 0.000 0.000 0.501
Pd4 0.000 0.135 0.131
Tm3 0.000 0.499 0.000

## Properties
Energy relative to the elements (eV/atom): -0.7559
Uncorrected energy (eV per atom): -5.555
Density of states at the Fermi level (states/eV per cell): 7.3

[15]
DyTmPd3 | PBE-GGA | relaxed

a b c (Å): 5.455 8.363 10.612
angles (deg): 122.93 90.00 90.00
Atoms (fractional coordinates):
Pd1 0.277 0.892 0.370
Pd2 0.747 0.913 0.029
Pd3 0.496 0.247 0.252
Pd4 0.247 0.587 0.471
Tm1 0.736 0.509 0.831
Pd5 0.753 0.413 0.529
Pd6 0.004 0.747 0.752
Pd7 0.504 0.753 0.748
Dy1 0.753 0.177 0.941
Pd8 0.253 0.087 0.971
Tm2 0.764 0.009 0.331
Dy2 0.253 0.323 0.559
Pd9 0.777 0.608 0.130
Pd10 0.223 0.392 0.870
Tm3 0.236 0.991 0.669
Tm4 0.264 0.491 0.169
Dy3 0.747 0.677 0.441
Pd11 0.996 0.253 0.248
Dy4 0.247 0.823 0.059
Pd12 0.723 0.108 0.630

## Properties
Energy relative to the elements (eV/atom): -0.8749
Uncorrected energy (eV per atom): -5.805
Density of states at the Fermi level (states/eV per cell): 11.7

[16]
Dy4TmPd2 | PBE-GGA | relaxed

a b c (Å): 3.891 3.891 15.499
angles (deg): 82.79 82.79 60.00
Atoms (fractional coordinates):
Dy1 0.894 0.894 0.318
Pd1 0.402 0.402 0.794
Dy2 0.698 0.698 0.905
Tm1 0.500 0.500 0.500
Pd2 0.598 0.598 0.206
Dy3 0.106 0.106 0.682
Dy4 0.302 0.302 0.095

## Properties
Energy relative to the elements (eV/atom): -0.3437
Uncorrected energy (eV per atom): -5.096
Density of states at the Fermi level (states/eV per cell): 9.0

[17]
DyTm2Pd3 | PBE-GGA | relaxed

a b c (Å): 3.479 3.479 10.426
angles (deg): 90.00 90.00 90.00
Atoms (fractional coordinates):
Tm1 0.500 0.500 0.835
Tm2 0.500 0.500 0.165
Dy1 0.500 0.500 0.500
Pd1 0.000 0.000 0.000
Pd2 0.000 0.000 0.328
Pd3 0.000 0.000 0.672

## Properties
Energy relative to the elements (eV/atom): -0.9193
Uncorrected energy (eV per atom): -5.773
Density of states at the Fermi level (states/eV per cell): 4.3

[18]
Dy2TmPd4 | PBE-GGA | relaxed

a b c (Å): 5.126 5.126 7.913
angles (deg): 101.74 101.84 111.66
Atoms (fractional coordinates):
Pd1 0.817 0.817 0.634
Pd2 0.000 0.500 0.000
Dy1 0.369 0.369 0.738
Tm1 0.000 0.000 0.000
Pd3 0.183 0.183 0.366
Pd4 0.500 0.000 0.000
Dy2 0.631 0.631 0.262

## Properties
Energy relative to the elements (eV/atom): -0.3221
Uncorrected energy (eV per atom): -5.243
Density of states at the Fermi level (states/eV per cell): 3.3

[19]
Dy2TmPd9 | PBE-GGA | relaxed

a b c (Å): 4.114 4.114 12.339
angles (deg): 90.00 90.00 90.00
Atoms (fractional coordinates):
Pd1 0.500 0.500 0.667
Pd2 0.500 0.000 0.165
Dy1 0.000 0.000 0.332
Pd3 0.500 0.000 0.835
Pd4 0.000 0.500 0.165
Pd5 0.000 0.500 0.500
Pd6 0.500 0.500 0.000
Pd7 0.500 0.500 0.333
Pd8 0.000 0.500 0.835
Tm1 0.000 0.000 0.000
Pd9 0.500 0.000 0.500
Dy2 0.000 0.000 0.668

## Properties
Energy relative to the elements (eV/atom): -0.8850
Uncorrected energy (eV per atom): -5.919
Density of states at the Fermi level (states/eV per cell): 9.2

[20]
Dy2Tm2ZnPd4 | PBE-GGA | relaxed

a b c (Å): 6.408 6.408 6.408
angles (deg): 97.29 115.88 115.88
Atoms (fractional coordinates):
Dy1 0.000 0.689 0.689
Pd1 0.517 0.258 0.258
Tm1 0.500 0.750 0.250
Pd2 0.483 0.742 0.742
Tm2 0.500 0.250 0.750
Zn1 0.000 0.000 0.000
Dy2 0.000 0.311 0.311
Pd3 0.000 0.258 0.742
Pd4 0.000 0.742 0.258

## Properties
Energy relative to the elements (eV/atom): -0.5179
Uncorrected energy (eV per atom): -4.984
Density of states at the Fermi level (states/eV per cell): 7.4

One value per record, in order, for M_tot: 0.000; 0.000; 0.000; 0.000; 0.000; 0.000; 0.000; 0.000; 0.000; 0.000; 0.000; 0.001; 0.000; 0.000; 0.000; 0.000; 0.000; 0.000; 0.000; 0.000 Bohr magnetons per cell.